# PBE SmMgIn2Au4, relaxed
data_SmMgIn2Au4
_space_group_name_H-M_alt 'P 1'
_space_group_IT_number 1
_cell_length_a 9.042
_cell_length_b 9.042
_cell_length_c 9.042
_cell_angle_alpha 30.46
_cell_angle_beta 30.46
_cell_angle_gamma 30.46
loop_
_space_group_symop_operation_xyz
'x,y,z'
loop_
_atom_site_label
_atom_site_fract_x
_atom_site_fract_y
_atom_site_fract_z
Sm1 0.000 0.000 0.000
Mg1 0.500 0.500 0.500
In1 0.247 0.247 0.247
In2 0.753 0.753 0.753
Au1 0.133 0.133 0.133
Au2 0.389 0.389 0.389
Au3 0.611 0.611 0.611
Au4 0.867 0.867 0.867
# Energy ... -0.134 hartree per atom
# Formation energy ... -0.535 eV/atom